1.
Here is a geometry-optimized PaCuGe structure from OQMD. Energies are from PBE-GGA.

```
PaCuGe
1.0
-2.645 -3.252 -1.748
-4.515 0.291 0.391
-2.545 0.866 -3.660
Cu Pa Ge
1 1 1
direct
0.250 0.250 0.250
0.750 0.750 0.750
0.000 0.000 0.000
```

Summary:
Energy above the most stable polymorph in this dataset ... 0.5333 eV per atom
Total moment ... 0.408 μB/atom
Calculated density ... 9.2 Mg/m³



2.
Here is a geometry-optimized NbCoSbPt structure from OQMD. Energies are from PBE-GGA.

```
NbCoSbPt
1.0
-0.341 -1.295 4.340
-2.522 -3.614 1.100
2.006 -3.831 1.391
Nb Co Pt Sb
1 1 1 1
direct
0.500 0.500 0.500
0.750 0.750 0.750
0.250 0.250 0.250
0.000 0.000 0.000
```

Summary:
Energy above the most stable polymorph in this dataset ... 0.0944 eV per atom
Total moment ... 0.015 μB/atom
Calculated density ... 11.7 Mg/m³



Repeat the first record exactly.
Here is a geometry-optimized PaCuGe structure from OQMD. Energies are from PBE-GGA.

```
PaCuGe
1.0
-2.645 -3.252 -1.748
-4.515 0.291 0.391
-2.545 0.866 -3.660
Cu Pa Ge
1 1 1
direct
0.250 0.250 0.250
0.750 0.750 0.750
0.000 0.000 0.000
```

Summary:
Energy above the most stable polymorph in this dataset ... 0.5333 eV per atom
Total moment ... 0.408 μB/atom
Calculated density ... 9.2 Mg/m³